Density functional theory data (PBE with a Hubbard U) for a geometry-optimized NaSrCo2O structure.

Computed properties:
* calculated total energy: -3.118 eV/atom
* magnetization: 4.40 μB/cell

POSCAR file:
```
NaSrCo2O
1.0
4.8477 0.0000 0.0000
0.0000 4.8477 0.0000
0.0000 0.0000 4.5290
Na Sr Co O
1 1 2 1
direct
0.0000 0.0000 0.0000
0.5000 0.5000 0.5000
0.0000 0.5000 0.0000
0.5000 0.0000 0.0000
0.0000 0.0000 0.5000
```